(1)
MgSn2Cl | meta-GGA SCAN | PBEsol geometry

a = 5.1218 Å, b = 5.1218 Å, c = 5.1218 Å
α = 60.00°, β = 60.00°, γ = 60.00°
With the nearest neighbours (Å) after each atom.
Fractional positions:
Mg 0.0000 0.0000 0.0000  8 Sn 3.14
Sn 0.2500 0.2500 0.2500  4 Cl 3.14, 4 Mg 3.14
Sn 0.7500 0.7500 0.7500  4 Cl 3.14, 4 Mg 3.14
Cl 0.5000 0.5000 0.5000  8 Sn 3.14

## Properties
**V**: 95.0 Å³ per cell
**Density**: 5.19 g cm⁻³
**Magnetization**: 0.00 μB/f.u.
**Raw formation energy**: 5 kJ/mol of formula units

(2)
Mg2TiSnCl | meta-GGA SCAN | PBEsol geometry

a = 4.8199 Å, b = 4.8199 Å, c = 4.5516 Å
α = 90.00°, β = 90.00°, γ = 90.00°
With the nearest neighbours (Å) after each atom.
Fractional positions:
Mg 0.0000 0.5000 0.0000  2 Cl 2.41
Mg 0.5000 0.0000 0.0000  2 Cl 2.41
Ti 0.0000 0.0000 0.5000  2 Cl 2.28
Sn 0.5000 0.5000 0.5000  8 Mg 3.31, 4 Ti 3.41
Cl 0.0000 0.0000 0.0000  2 Ti 2.28, 4 Mg 2.41

## Properties
**V**: 105.7 Å³ per cell
**Density**: 3.94 g cm⁻³
**Magnetization**: 2.53 μB/f.u.
**Raw formation energy**: -4 kJ/mol of formula units

(3)
Sr2MgCl | meta-GGA SCAN | PBEsol geometry

a = 5.9678 Å, b = 5.9678 Å, c = 4.0425 Å
α = 90.00°, β = 90.00°, γ = 90.00°
With the nearest neighbours (Å) after each atom.
Fractional positions:
Sr 0.0000 0.5000 0.0000  2 Cl 2.98
Sr 0.5000 0.0000 0.0000  2 Cl 2.98
Mg 0.0000 0.0000 0.5004  8 Sr 3.60
Cl 0.5000 0.5000 0.0014  4 Sr 2.98

## Properties
**V**: 144.0 Å³ per cell
**Density**: 2.71 g cm⁻³
**Magnetization**: 0.76 μB/f.u.
**Raw formation energy**: -341 kJ/mol of formula units

(4)
SrMg2Cl | meta-GGA SCAN | PBEsol geometry

a = 6.1895 Å, b = 6.1895 Å, c = 6.1895 Å
α = 144.42°, β = 119.81°, γ = 71.91°
With the nearest neighbours (Å) after each atom.
Fractional positions:
Sr 0.0000 0.0000 0.0000  2 Cl 2.91
Mg 0.3070 0.8070 0.5000  2 Mg 3.27, 4 Sr 3.61-3.66, 4 Cl 3.64
Mg 0.5733 0.5733 0.0000  2 Cl 2.80
Cl 0.7793 0.2793 0.5000  2 Mg 2.80, 2 Sr 2.91

## Properties
**V**: 117.6 Å³ per cell
**ΔE to the lowest computed polymorph**: 0.141 eV per atom
**Density**: 2.42 g cm⁻³
**Magnetization**: 0.00 μB/f.u.
**Raw formation energy**: -210 kJ/mol of formula units

(5)
SrMg2Cl | meta-GGA SCAN | PBEsol geometry

a = 7.2932 Å, b = 7.2932 Å, c = 3.9788 Å
α = 105.50°, β = 105.50°, γ = 132.32°
With the nearest neighbours (Å) after each atom.
Fractional positions:
Sr 0.0000 0.0000 0.0000  4 Cl 2.95-3.00
Mg 0.0000 0.5000 0.5000  4 Mg 2.95-3.00
Mg 0.5000 0.0000 0.5000  4 Mg 2.95-3.00
Cl 0.5000 0.5000 0.0000  4 Sr 2.95-3.00

## Properties
**V**: 117.4 Å³ per cell
**ΔE to the lowest computed polymorph**: 0.000 eV per atom
**Density**: 2.43 g cm⁻³
**Magnetization**: 0.09 μB/f.u.
**Raw formation energy**: -264 kJ/mol of formula units

(6)
Mg2TaCl | meta-GGA SCAN | PBEsol geometry

a = 5.6415 Å, b = 5.6415 Å, c = 5.2861 Å
α = 108.51°, β = 108.51°, γ = 30.62°
With the nearest neighbours (Å) after each atom.
Fractional positions:
Mg 0.0000 0.0000 0.0000  1 Cl 2.75, 2 Mg 2.98, 2 Ta 2.99
Mg 0.1995 0.1995 0.6302  3 Ta 2.97-3.06, 2 Mg 2.98, 4 Cl 3.10-3.23
Ta 0.4502 0.4502 0.4865  2 Cl 2.47
Cl 0.7881 0.7881 0.1757  2 Ta 2.47, 1 Mg 2.75

## Properties
**V**: 80.9 Å³ per cell
**ΔE to the lowest computed polymorph**: 0.358 eV per atom
**Density**: 5.44 g cm⁻³
**Magnetization**: 0.00 μB/f.u.
**Raw formation energy**: 21 kJ/mol of formula units

(7)
MgTa3Cl | meta-GGA SCAN | PBEsol geometry

a = 4.7669 Å, b = 4.7669 Å, c = 4.7669 Å
α = 90.00°, β = 90.00°, γ = 90.00°
With the nearest neighbours (Å) after each atom.
Fractional positions:
Mg 0.0000 0.0000 0.0000  6 Ta 2.38
Ta 0.0000 0.0000 0.5000  2 Mg 2.38
Ta 0.0000 0.5000 0.0000  2 Mg 2.38
Ta 0.5000 0.0000 0.0000  2 Mg 2.38
Cl 0.5000 0.5000 0.5000  12 Ta 3.37

## Properties
**V**: 108.3 Å³ per cell
**ΔE to the lowest computed polymorph**: 1.478 eV per atom
**Density**: 9.24 g cm⁻³
**Magnetization**: 0.00 μB/f.u.
**Raw formation energy**: 1134 kJ/mol of formula units

(8)
MgTa3Cl | meta-GGA SCAN | PBEsol geometry

a = 4.5299 Å, b = 4.5299 Å, c = 4.5299 Å
α = 90.00°, β = 90.00°, γ = 90.00°
With the nearest neighbours (Å) after each atom.
Fractional positions:
Mg 0.0000 0.0000 0.0000  12 Ta 3.20
Ta 0.0000 0.5000 0.5000  2 Cl 2.26
Ta 0.5000 0.0000 0.5000  2 Cl 2.26
Ta 0.5000 0.5000 0.0000  2 Cl 2.26
Cl 0.5000 0.5000 0.5000  6 Ta 2.26

## Properties
**V**: 93.0 Å³ per cell
**ΔE to the lowest computed polymorph**: 0.000 eV per atom
**Density**: 10.77 g cm⁻³
**Magnetization**: 0.00 μB/f.u.
**Raw formation energy**: 421 kJ/mol of formula units